# 1
A relaxed AlCrTcMo crystal. Source: the Alexandria database, functional PBE.

a = 4.332 Å, b = 4.332 Å, c = 4.332 Å
α = 60.00°, β = 60.00°, γ = 60.00°
Sites, in units of the cell vectors:
Al1 0.000 0.000 0.000
Cr1 0.250 0.250 0.250
Tc1 0.750 0.750 0.750
Mo1 0.500 0.500 0.500

Energy (eV/atom): -8.786
Crystal system: cubic
Total magnetization (μB per formula unit): 2.0

***

# 2
A relaxed CeDyOsPd crystal. Source: the Alexandria database, functional PBE.

a = 4.926 Å, b = 4.926 Å, c = 4.926 Å
α = 60.00°, β = 60.00°, γ = 60.00°
Sites, in units of the cell vectors:
Ce1 0.000 0.000 0.000
Dy1 0.500 0.500 0.500
Os1 0.750 0.750 0.750
Pd1 0.250 0.250 0.250

Energy (eV/atom): -7.198
Crystal system: cubic
Total magnetization (μB per formula unit): 0.5

***

# 3
A relaxed SrZr2Rh crystal. Source: the Alexandria database, functional PBE.

a = 4.219 Å, b = 4.219 Å, c = 5.242 Å
α = 90.00°, β = 90.00°, γ = 90.00°
Sites, in units of the cell vectors:
Sr1 0.000 0.000 0.000
Zr1 0.000 0.500 0.500
Zr2 0.500 0.000 0.500
Rh1 0.500 0.500 0.000

Energy (eV/atom): -6.278
Crystal system: tetragonal
Total magnetization (μB per formula unit): 0.0
E above lowest polymorph (meV/atom): 431.9

***

# 4
A relaxed Na3Cd7Au4 crystal. Source: the Alexandria database, functional PBE.

a = 8.688 Å, b = 8.688 Å, c = 10.409 Å
α = 122.31°, β = 122.31°, γ = 30.39°
Sites, in units of the cell vectors:
Na1 0.000 0.000 0.000
Na2 0.301 0.301 0.292
Na3 0.699 0.699 0.708
Cd1 0.000 0.000 0.500
Cd2 0.160 0.160 0.435
Cd3 0.319 0.319 0.978
Cd4 0.492 0.492 0.693
Cd5 0.508 0.508 0.307
Cd6 0.681 0.681 0.022
Cd7 0.840 0.840 0.565
Au1 0.116 0.116 0.827
Au2 0.337 0.337 0.731
Au3 0.663 0.663 0.269
Au4 0.884 0.884 0.173

Energy (eV/atom): -1.905
Crystal system: monoclinic
Total magnetization (μB per formula unit): 0.0

***

# 5
A relaxed HoPuTlCu crystal. Source: the Alexandria database, functional PBE.

a = 5.195 Å, b = 5.195 Å, c = 5.195 Å
α = 60.00°, β = 60.00°, γ = 60.00°
Sites, in units of the cell vectors:
Ho1 0.000 0.000 0.000
Pu1 0.500 0.500 0.500
Tl1 0.250 0.250 0.250
Cu1 0.750 0.750 0.750

Energy (eV/atom): -6.360
Crystal system: cubic
Total magnetization (μB per formula unit): 5.7

***

# 6
A relaxed HfScSi2O8 crystal. Source: the Alexandria database, functional PBE.

a = 5.585 Å, b = 5.585 Å, c = 5.585 Å
α = 107.00°, β = 107.00°, γ = 114.53°
Sites, in units of the cell vectors:
Hf1 0.000 0.000 0.000
Sc1 0.750 0.250 0.500
Si1 0.250 0.750 0.500
Si2 0.500 0.500 0.000
O1 0.076 0.387 0.311
O2 0.076 0.765 0.689
O3 0.136 0.320 0.816
O4 0.235 0.924 0.311
O5 0.504 0.320 0.184
O6 0.613 0.924 0.689
O7 0.680 0.496 0.816
O8 0.680 0.864 0.184

Energy (eV/atom): -8.497
Raw formation energy (eV per atom): -2.931
Crystal system: tetragonal
Total magnetization (μB per formula unit): 0.6

***

# 7
A relaxed PmSm7Tl4 crystal. Source: the Alexandria database, functional PBE.

a = 7.988 Å, b = 7.988 Å, c = 10.493 Å
α = 120.44°, β = 120.44°, γ = 42.91°
Sites, in units of the cell vectors:
Pm1 0.000 0.000 0.000
Sm1 0.062 0.062 0.395
Sm2 0.205 0.205 0.880
Sm3 0.274 0.274 0.336
Sm4 0.500 0.500 0.000
Sm5 0.726 0.726 0.664
Sm6 0.795 0.795 0.120
Sm7 0.938 0.938 0.605
Tl1 0.314 0.314 0.667
Tl2 0.442 0.442 0.254
Tl3 0.558 0.558 0.746
Tl4 0.686 0.686 0.333

Energy (eV/atom): -3.996
Crystal system: monoclinic
Total magnetization (μB per formula unit): 0.0

***

# 8
A relaxed Cd2ReW crystal. Source: the Alexandria database, functional PBE.

a = 2.764 Å, b = 2.764 Å, c = 9.743 Å
α = 90.00°, β = 90.00°, γ = 109.39°
Sites, in units of the cell vectors:
Cd1 0.000 0.000 0.248
Cd2 0.000 0.000 0.752
Re1 0.500 0.500 0.000
W1 0.500 0.500 0.500

Energy (eV/atom): -6.119
Crystal system: orthorhombic
Total magnetization (μB per formula unit): 0.0
E above lowest polymorph (meV/atom): 322.3